A relaxed Sr2AgHg crystal. Source: Alexandria via LeMat-Bulk, functional PBE. Values from VASP.

size of the total moment	0.00	μB per formula unit
symmetry	No. 44
formation energy	-0.28	eV per atom

Cell and atoms, written as Quantum ESPRESSO input:
```
&SYSTEM
  ibrav = 0, nat = 4, ntyp = 3
/
ATOMIC_SPECIES
Ag 107.87 Ag.upf
Hg 200.59 Hg.upf
Sr 87.62 Sr.upf
ATOMIC_POSITIONS angstrom
Ag 4.8202 2.7698 0.0000
Hg 2.2644 2.6958 1.6102
Sr 0.1693 0.0973 0.0000
Sr 3.3891 -0.5263 1.6108
CELL_PARAMETERS angstrom
6.7596 0.0158 0.0006
3.4173 5.8321 -0.0006
-4.6223 -3.7352 3.2210
```

---

A relaxed Tl2Sb2Rh crystal. Source: Alexandria via LeMat-Bulk, functional PBE. Values from VASP.

size of the total moment	0.00	μB per formula unit
E	-41.55	eV per cell
symmetry	No. 127

Cell and atoms, written as Quantum ESPRESSO input:
```
&SYSTEM
  ibrav = 0, nat = 10, ntyp = 3
/
ATOMIC_SPECIES
Sb 121.76 Sb.upf
Tl 204.38 Tl.upf
Rh 102.91 Rh.upf
ATOMIC_POSITIONS angstrom
Sb 2.3907 5.8024 0.0000
Sb 5.8024 4.4327 0.0000
Sb 4.4327 1.0210 0.0000
Sb 1.0210 2.3907 0.0000
Tl 1.2155 4.6272 2.9390
Tl 4.6272 5.6079 2.9390
Tl 5.6079 2.1962 2.9390
Tl 2.1962 1.2155 2.9390
Rh 0.0000 0.0000 0.0000
Rh 3.4117 3.4117 0.0000
CELL_PARAMETERS angstrom
6.8234 0.0000 0.0000
0.0000 6.8234 0.0000
0.0000 0.0000 5.8780
```

---

A relaxed KCrPb2 crystal. Source: Alexandria via LeMat-Bulk, functional PBE. Values from VASP.

size of the total moment	4.18	μB per formula unit
energy relative to the lowest polymorph listed for this composition	1.10	eV per formula unit
symmetry	No. 12
formation energy	0.45	eV per atom

Cell and atoms, written as Quantum ESPRESSO input:
```
&SYSTEM
  ibrav = 0, nat = 4, ntyp = 3
/
ATOMIC_SPECIES
Cr 52.00 Cr.upf
K 39.10 K.upf
Pb 207.20 Pb.upf
ATOMIC_POSITIONS angstrom
Cr 0.6847 -0.9816 3.2469
K -0.2361 -3.3110 0.9425
Pb 0.0000 0.0000 0.0000
Pb -3.4460 -3.2624 -0.3227
CELL_PARAMETERS angstrom
-4.3668 -5.5918 -2.6270
3.8947 -1.0302 4.5121
-2.5252 -0.9330 1.9816
```

---

A relaxed Pm3TlTc crystal. Source: Alexandria via LeMat-Bulk, functional PBE. Values from VASP.

size of the total moment	0.00	μB per formula unit
energy relative to the lowest polymorph listed for this composition	0.00	eV per formula unit
symmetry	No. 11
formation energy	-0.14	eV per atom

Cell and atoms, written as Quantum ESPRESSO input:
```
&SYSTEM
  ibrav = 0, nat = 10, ntyp = 3
/
ATOMIC_SPECIES
Pm 145.00 Pm.upf
Tl 204.38 Tl.upf
Tc 98.00 Tc.upf
ATOMIC_POSITIONS angstrom
Pm -5.8333 -0.5641 1.8507
Pm -3.3265 2.6341 2.1679
Pm -5.4407 5.4881 1.4871
Pm -6.3193 0.5192 5.4343
Pm -3.7190 -3.4181 2.5315
Pm -2.8405 1.5508 -1.4157
Tl -2.4723 -0.4622 1.1942
Tl -6.6874 2.5322 2.8244
Tc -5.5135 -2.3555 4.5161
Tc -3.6463 4.4255 -0.4976
CELL_PARAMETERS angstrom
-3.0234 0.0309 -2.7502
-4.1709 -6.4206 4.5131
-1.9654 8.4597 2.2557
```

---

A relaxed Ba2SrRh crystal. Source: Alexandria via LeMat-Bulk, functional PBE. Values from VASP.

size of the total moment	0.00	μB per formula unit
energy relative to the lowest polymorph listed for this composition	1.74	eV per formula unit
symmetry	No. 119
formation energy	0.24	eV per atom

Cell and atoms, written as Quantum ESPRESSO input:
```
&SYSTEM
  ibrav = 0, nat = 4, ntyp = 3
/
ATOMIC_SPECIES
Ba 137.33 Ba.upf
Rh 102.91 Rh.upf
Sr 87.62 Sr.upf
ATOMIC_POSITIONS angstrom
Ba 0.0000 0.0000 0.0000
Ba 0.0136 2.9078 2.0516
Rh 2.9214 2.9070 0.0000
Sr 2.9078 -0.0008 2.0516
CELL_PARAMETERS angstrom
5.8157 -0.0017 0.0000
0.0272 5.8156 0.0000
-2.9214 -2.9070 4.1033
```

---

A relaxed Ti2ZnO4 crystal. Source: Alexandria via LeMat-Bulk, functional PBE. Values from VASP.

size of the total moment	0.00	μB per formula unit
energy relative to the lowest polymorph listed for this composition	0.00	eV per formula unit
symmetry	No. 227

Cell and atoms, written as Quantum ESPRESSO input:
```
&SYSTEM
  ibrav = 0, nat = 14, ntyp = 3
/
ATOMIC_SPECIES
Ti 47.87 Ti.upf
Zn 65.41 Zn.upf
O 16.00 O.upf
ATOMIC_POSITIONS angstrom
Ti -3.2761 1.2482 3.0529
Ti -4.5378 -0.4509 0.9034
Ti -1.6778 0.4646 0.6176
Ti -3.9307 2.4547 0.3668
Zn -10.0667 2.7874 3.7055
Zn -6.7112 1.8583 2.4703
O -7.9770 0.3805 2.1150
O -4.9146 1.3608 1.8090
O -7.3270 3.4919 1.5405
O -10.1519 2.4458 1.7591
O -9.4509 1.1539 4.6353
O -11.8633 3.2849 4.3668
O -6.6260 2.1999 4.4167
O -8.8009 4.2652 4.0607
CELL_PARAMETERS angstrom
-3.1966 1.5673 4.8706
-4.5058 3.9803 -0.5016
-5.7199 -1.8310 0.5716
```

---

Question: size of the total moment of number 4 (Pm3TlTc)?
Answer: 0.00 μB per formula unit

---

Repeat the fourth record exactly.
A relaxed Pm3TlTc crystal. Source: Alexandria via LeMat-Bulk, functional PBE. Values from VASP.

size of the total moment	0.00	μB per formula unit
energy relative to the lowest polymorph listed for this composition	0.00	eV per formula unit
symmetry	No. 11
formation energy	-0.14	eV per atom

Cell and atoms, written as Quantum ESPRESSO input:
```
&SYSTEM
  ibrav = 0, nat = 10, ntyp = 3
/
ATOMIC_SPECIES
Pm 145.00 Pm.upf
Tl 204.38 Tl.upf
Tc 98.00 Tc.upf
ATOMIC_POSITIONS angstrom
Pm -5.8333 -0.5641 1.8507
Pm -3.3265 2.6341 2.1679
Pm -5.4407 5.4881 1.4871
Pm -6.3193 0.5192 5.4343
Pm -3.7190 -3.4181 2.5315
Pm -2.8405 1.5508 -1.4157
Tl -2.4723 -0.4622 1.1942
Tl -6.6874 2.5322 2.8244
Tc -5.5135 -2.3555 4.5161
Tc -3.6463 4.4255 -0.4976
CELL_PARAMETERS angstrom
-3.0234 0.0309 -2.7502
-4.1709 -6.4206 4.5131
-1.9654 8.4597 2.2557
```

---

Question: What is the formula in the third record?
Answer: KCrPb2